Compound: Mg2ZrAuN
Source: Alexandria via LeMat-Bulk
Functional: meta-GGA SCAN
Structure: PBEsol geometry

Output
Its formation energy without anion corrections is 1.741 eV per atom.

Cell lengths 5.8121, 5.8121, 5.0493 Å; angles 90.00, 90.00, 90.00 degrees
Space group P4/mmm (No. 123)
One atom of each set of equivalent atoms:
Mg: 0.0000 0.5000 0.0000
Zr: 0.0000 0.0000 0.0000
Au: 0.0000 0.0000 0.5000
N: 0.5000 0.5000 0.5000